The following is a DFT calculation (PBE+U) of a relaxed structure of Li2UMnO6.

As for the density: 6.1 g/cm³. The raw total energy is -75.05 eV per cell.

abc: 5.2238 5.2236 5.5361
angles: 61.85 61.85 60.00
Closest atoms and distances in Å follow each position.
Fractional coordinates of all 10 atoms:
Li 0.5341 0.5341 0.3980  3 O 2.03
Li 0.0360 0.0360 0.8918  3 O 2.05
U 0.3197 0.3197 0.0408  6 O 2.08-2.09
Mn 0.8211 0.8211 0.5366  6 O 1.94
O 0.5970 0.1855 0.2826  1 Mn 1.94, 1 Li 2.03, 1 U 2.08
O 0.1854 0.9348 0.2827  1 Mn 1.94, 1 Li 2.03, 1 U 2.08
O 0.9348 0.5971 0.2826  1 Mn 1.94, 1 Li 2.03, 1 U 2.08
O 0.4568 0.7024 0.7667  1 Mn 1.94, 1 Li 2.05, 1 U 2.09
O 0.7024 0.0741 0.7667  1 Mn 1.94, 1 Li 2.05, 1 U 2.09
O 0.0741 0.4568 0.7667  1 Mn 1.94, 1 Li 2.05, 1 U 2.09